{"formula": "BaHoI2", "functional": "PBE", "state": "relaxed", "total_energy_ev_per_atom": -3.19, "e_form_raw_ev_per_atom": -0.7905, "cell": [[4.0937, 0.0000, 0.0000], [2.0468, 3.5452, 0.0000], [2.0468, 1.1817, 11.3581]], "species": ["I", "I", "Ho", "Ba"], "frac_coords": [[0.1067, 0.1067, 0.6800], [0.8933, 0.8933, 0.3200], [0.5000, 0.5000, 0.5000], [0.0000, 0.0000, 0.0000]]}